Material: KSr2Te
Method: DFT, PBE
State: relaxed

Cell: 5.4955 5.5406 5.4914 Å, 90.00 90.00 90.00°
Atoms (fractional coordinates):
K: 0.0000 0.5000 0.5000
Sr: 0.0000 0.0000 0.0000
Sr: 0.5000 0.5000 0.0000
Te: 0.5000 0.0000 0.5000

Calculated values
- Symmetry: No. 47
- Total magnetization: 0.00 μB/f.u.
- Raw formation energy: -0.48 eV per atom
- DOS at the Fermi energy: 0.672 states/eV per atom